## Zn2SiPb (PBE-GGA)

Data for a relaxed structure of Zn2SiPb.

Properties
Formation energy from raw total energies = 0.40 eV per atom
Fermi-level density of states = 1.82 states/eV per cell
Final energy = -2.5245 eV per atom
Density = 7.52 Mg/m³

Lattice parameters (Å, degrees): 4.136 4.259 4.589 90.00 90.00 90.00
Fractional positions:
Zn  0.000  0.000  0.000
Zn  0.000  0.500  0.500
Si  0.500  0.000  0.500
Pb  0.500  0.500  0.000

## ZnSi2Pb (PBE-GGA)

Data for a relaxed structure of ZnSi2Pb.

Properties
Formation energy from raw total energies = 0.26 eV per atom
Fermi-level density of states = 2.48 states/eV per cell
Final energy = -3.7000 eV per atom
Density = 6.46 Mg/m³

Lattice parameters (Å, degrees): 7.145 7.145 7.145 30.74 30.74 30.74
Fractional positions:
Zn  0.000  0.000  0.000
Si  0.259  0.259  0.259
Si  0.543  0.543  0.543
Pb  0.770  0.770  0.770

## Zr2ZnSiPb (PBE-GGA)

Data for a relaxed structure of Zr2ZnSiPb.

Properties
Formation energy from raw total energies = 1.37 eV per atom
Fermi-level density of states = 6.38 states/eV per cell
Final energy = -4.1350 eV per atom
Density = 5.25 Mg/m³

Lattice parameters (Å, degrees): 5.471 5.471 5.104 90.00 90.00 90.00
Fractional positions:
Zr  0.000  0.500  0.000
Zr  0.500  0.000  0.000
Zn  0.000  0.000  0.500
Si  0.500  0.500  0.500
Pb  0.500  0.500  0.000

## ZrSiPb2 (PBE-GGA)

Data for a relaxed structure of ZrSiPb2.

Properties
Formation energy from raw total energies = 0.23 eV per atom
Fermi-level density of states = 1.85 states/eV per cell
Final energy = -5.1150 eV per atom
Density = 9.30 Mg/m³

Lattice parameters (Å, degrees): 5.500 5.500 3.282 90.00 90.00 106.25
Fractional positions:
Zr  0.000  0.000  0.000
Si  0.500  0.500  0.000
Pb  0.000  0.500  0.500
Pb  0.500  0.000  0.500

## ZrSiPb (PBE-GGA)

Data for a relaxed structure of ZrSiPb.

Properties
Formation energy from raw total energies = 0.26 eV per atom
Fermi-level density of states = 2.52 states/eV per cell
Final energy = -5.6374 eV per atom
Density = 7.35 Mg/m³

Lattice parameters (Å, degrees): 4.708 4.708 4.708 60.00 60.00 60.00
Fractional positions:
Zr  0.000  0.000  0.000
Si  0.250  0.250  0.250
Pb  0.500  0.500  0.500

## ZrSi3Pb (PBE-GGA)

Data for a relaxed structure of ZrSi3Pb.

Properties
Formation energy from raw total energies = 0.64 eV per atom
Fermi-level density of states = 4.35 states/eV per cell
Final energy = -5.0614 eV per atom
Density = 4.76 Mg/m³

Lattice parameters (Å, degrees): 5.110 5.110 5.110 90.00 90.00 90.00
Fractional positions:
Zr  0.000  0.000  0.000
Si  0.000  0.000  0.500
Si  0.000  0.500  0.000
Si  0.500  0.000  0.000
Pb  0.500  0.500  0.500

## ZrSiPb2 (PBE-GGA)

Data for a relaxed structure of ZrSiPb2.

Properties
Formation energy from raw total energies = -0.02 eV per atom
Fermi-level density of states = 2.04 states/eV per cell
Final energy = -5.3675 eV per atom
Density = 8.82 Mg/m³

Lattice parameters (Å, degrees): 3.769 3.769 7.068 90.00 90.00 90.00
Fractional positions:
Zr  0.000  0.000  0.000
Si  0.500  0.500  0.901
Pb  0.000  0.000  0.574
Pb  0.500  0.500  0.302

## Zr5SiPb3 (PBE-GGA)

Data for a relaxed structure of Zr5SiPb3.

Properties
Formation energy from raw total energies = -0.46 eV per atom
Fermi-level density of states = 17.62 states/eV per cell
Final energy = -7.0483 eV per atom
Density = 9.16 Mg/m³

Lattice parameters (Å, degrees): 8.805 8.805 5.971 90.00 90.00 120.00
Fractional positions:
Zr  0.000  0.253  0.250
Zr  0.000  0.747  0.750
Zr  0.253  0.000  0.250
Zr  0.253  0.253  0.750
Zr  0.333  0.667  0.000
Zr  0.333  0.667  0.500
Zr  0.667  0.333  0.000
Zr  0.667  0.333  0.500
Zr  0.747  0.000  0.750
Zr  0.747  0.747  0.250
Si  0.000  0.000  0.000
Si  0.000  0.000  0.500
Pb  0.000  0.394  0.750
Pb  0.000  0.606  0.250
Pb  0.394  0.000  0.750
Pb  0.394  0.394  0.250
Pb  0.606  0.000  0.250
Pb  0.606  0.606  0.750

## Zr4SiPb (PBE-GGA)

Data for a relaxed structure of Zr4SiPb.

Properties
Formation energy from raw total energies = 0.29 eV per atom
Fermi-level density of states = 8.25 states/eV per cell
Final energy = -6.9281 eV per atom
Density = 7.30 Mg/m³

Lattice parameters (Å, degrees): 5.779 5.779 5.779 60.00 60.00 60.00
Fractional positions:
Zr  0.125  0.125  0.125
Zr  0.125  0.125  0.624
Zr  0.125  0.624  0.125
Zr  0.624  0.125  0.125
Si  0.500  0.500  0.500
Pb  0.750  0.750  0.750

## ZrSi2Pb (PBE-GGA)

Data for a relaxed structure of ZrSi2Pb.

Properties
Formation energy from raw total energies = 0.03 eV per atom
Fermi-level density of states = 2.17 states/eV per cell
Final energy = -5.7483 eV per atom
Density = 7.44 Mg/m³

Lattice parameters (Å, degrees): 5.502 5.502 5.502 143.03 126.74 66.60
Fractional positions:
Zr  0.000  0.000  0.000
Si  0.260  0.760  0.500
Si  0.445  0.445  0.000
Pb  0.718  0.218  0.500

## ZrSi2Pb (PBE-GGA)

Data for a relaxed structure of ZrSi2Pb.

Properties
Formation energy from raw total energies = 0.06 eV per atom
Fermi-level density of states = 1.92 states/eV per cell
Final energy = -5.7175 eV per atom
Density = 6.99 Mg/m³

Lattice parameters (Å, degrees): 3.166 3.166 8.562 90.00 90.00 101.18
Fractional positions:
Zr  0.000  0.000  0.000
Si  0.500  0.500  0.218
Si  0.500  0.500  0.782
Pb  0.000  0.000  0.500

## ZrSi2Pb (PBE-GGA)

Data for a relaxed structure of ZrSi2Pb.

Properties
Formation energy from raw total energies = 0.12 eV per atom
Fermi-level density of states = 1.79 states/eV per cell
Final energy = -5.6521 eV per atom
Density = 7.37 Mg/m³

Lattice parameters (Å, degrees): 5.322 5.322 5.322 138.26 125.73 70.72
Fractional positions:
Zr  0.000  0.000  0.000
Si  0.243  0.743  0.500
Si  0.757  0.257  0.500
Pb  0.500  0.500  0.000

## ZrSi2Pb (PBE-GGA)

Data for a relaxed structure of ZrSi2Pb.

Properties
Formation energy from raw total energies = 0.05 eV per atom
Fermi-level density of states = 1.85 states/eV per cell
Final energy = -5.7221 eV per atom
Density = 7.30 Mg/m³

Lattice parameters (Å, degrees): 3.690 3.690 5.927 90.00 90.00 90.00
Fractional positions:
Zr  0.000  0.000  0.000
Si  0.000  0.000  0.551
Si  0.500  0.500  0.812
Pb  0.500  0.500  0.313

## ZrSiPb2 (PBE-GGA)

Data for a relaxed structure of ZrSiPb2.

Properties
Formation energy from raw total energies = 0.37 eV per atom
Fermi-level density of states = 5.11 states/eV per cell
Final energy = -4.9723 eV per atom
Density = 8.83 Mg/m³

Lattice parameters (Å, degrees): 6.517 6.517 6.517 102.20 102.20 125.26
Fractional positions:
Zr  0.000  0.000  0.000
Zr  0.750  0.250  0.500
Si  0.250  0.750  0.500
Si  0.500  0.500  0.000
Pb  0.150  0.625  0.025
Pb  0.375  0.400  0.525
Pb  0.600  0.125  0.975
Pb  0.875  0.850  0.475

## ZrSi2Pb2 (PBE-GGA)

Data for a relaxed structure of ZrSi2Pb2.

Properties
Formation energy from raw total energies = 0.42 eV per atom
Fermi-level density of states = 3.12 states/eV per cell
Final energy = -4.9409 eV per atom
Density = 7.59 Mg/m³

Lattice parameters (Å, degrees): 7.661 7.661 7.661 148.42 148.42 45.27
Fractional positions:
Zr  0.000  0.000  0.000
Si  0.420  0.420  0.000
Si  0.580  0.580  0.000
Pb  0.250  0.750  0.500
Pb  0.750  0.250  0.500